1.
This record from the Alexandria database describes a geometry-optimized LiCeEuZn structure. The functional is PBE-GGA.

Results
total moment	8.6	μB per formula unit
total DFT energy (no corrections)	-4.83	eV per atom

Cell: 7.492 7.492 7.492 Å, 90.00 90.00 90.00°
Space group F-43m (No. 216)
Unique sites:
Li 0.000 0.000 0.000 [4 per cell]
Ce 0.250 0.250 0.750 [4 per cell]
Eu 0.250 0.250 0.250 [4 per cell]
Zn 0.000 0.000 0.500 [4 per cell]


2.
This record from the Alexandria database describes a geometry-optimized Th2FeN structure. The functional is PBE-GGA.

Results
energy relative to the elements, uncorrected	-492	meV per atom
total moment	0.0	μB per formula unit
total DFT energy (no corrections)	-8.40	eV per atom

Cell: 3.7735 3.7735 19.2995 Å, 90.00 90.00 120.00°
Space group R-3m (No. 166, hexagonal axes)
Unique sites:
Th 0.0000 0.0000 0.2450 [6 per cell]
Fe 0.0000 0.0000 0.0000 [3 per cell]
N 0.0000 0.0000 0.5000 [3 per cell]


3.
This record from the Alexandria database describes a geometry-optimized CrRhSeN2 structure. The functional is PBE-GGA.

Results
energy relative to the elements, uncorrected	645	meV per atom
total moment	0.0	μB per formula unit
total DFT energy (no corrections)	-6.78	eV per atom

Cell: 3.627 3.627 5.210 Å, 90.00 90.00 90.00°
Space group P4/mmm (No. 123)
Unique sites:
Cr 0.000 0.000 0.000 [1 per cell]
Rh 0.500 0.500 0.500 [1 per cell]
Se 0.000 0.000 0.500 [1 per cell]
N 0.000 0.500 0.000 [2 per cell]


Please write out number 2 again, unchanged.
This record from the Alexandria database describes a geometry-optimized Th2FeN structure. The functional is PBE-GGA.

Results
energy relative to the elements, uncorrected	-492	meV per atom
total moment	0.0	μB per formula unit
total DFT energy (no corrections)	-8.40	eV per atom

Cell: 3.7735 3.7735 19.2995 Å, 90.00 90.00 120.00°
Space group R-3m (No. 166, hexagonal axes)
Unique sites:
Th 0.0000 0.0000 0.2450 [6 per cell]
Fe 0.0000 0.0000 0.0000 [3 per cell]
N 0.0000 0.0000 0.5000 [3 per cell]


The lowest total DFT energy (no corrections) belongs to which entry? Th2FeN